Record 1
First-principles (PBE-GGA) data for a relaxed structure of FeHgCl2, as listed in the Alexandria database.

Output
The symmetry is P4/mmm. As for the energy above the most stable polymorph in this dataset: 0.789 eV per atom. For the calculated volume, the calculation gives 85.7 Å³/cell. Its formation energy (no corrections) is 0.272 eV per atom.

Cell lengths 4.8574, 4.8574, 3.6311 Å; angles 90.00, 90.00, 90.00 degrees
Atoms (fractional coordinates):
Fe  0.0000  0.0000  0.0000
Hg  0.5000  0.5000  0.0000
Cl  0.0000  0.5000  0.5000
Cl  0.5000  0.0000  0.5000

Record 2
First-principles (PBE-GGA) data for a relaxed structure of Fe3HgCl12, as listed in the Alexandria database.

Output
The symmetry is R3c. For the calculated volume, the calculation gives 1118.4 Å³/cell. Its formation energy (no corrections) is -0.630 eV per atom.

Cell lengths 12.0594, 12.0594, 12.0594 Å; angles 55.77, 55.77, 55.77 degrees
Atoms (fractional coordinates):
Fe  0.0085  0.2808  0.7107
Fe  0.2107  0.7808  0.5085
Fe  0.2808  0.7107  0.0085
Fe  0.5085  0.2107  0.7808
Fe  0.7107  0.0085  0.2808
Fe  0.7808  0.5085  0.2107
Hg  0.3910  0.3910  0.3910
Hg  0.8910  0.8910  0.8910
Cl  0.0336  0.0794  0.7160
Cl  0.0794  0.7160  0.0336
Cl  0.1054  0.2261  0.8463
Cl  0.1263  0.3881  0.4790
Cl  0.2160  0.5794  0.5336
Cl  0.2261  0.8463  0.1054
Cl  0.2746  0.9249  0.2918
Cl  0.2918  0.2746  0.9249
Cl  0.3463  0.7261  0.6054
Cl  0.3881  0.4790  0.1263
Cl  0.4249  0.7746  0.7918
Cl  0.4790  0.1263  0.3881
Cl  0.5336  0.2160  0.5794
Cl  0.5794  0.5336  0.2160
Cl  0.6054  0.3463  0.7261
Cl  0.6263  0.9790  0.8881
Cl  0.7160  0.0336  0.0794
Cl  0.7261  0.6054  0.3463
Cl  0.7746  0.7918  0.4249
Cl  0.7918  0.4249  0.7746
Cl  0.8463  0.1054  0.2261
Cl  0.8881  0.6263  0.9790
Cl  0.9249  0.2918  0.2746
Cl  0.9790  0.8881  0.6263

Record 3
First-principles (PBE-GGA) data for a relaxed structure of Fe3HgCl, as listed in the Alexandria database.

Output
The symmetry is Pm-3m. As for the energy above the most stable polymorph in this dataset: 0.727 eV per atom. For the calculated volume, the calculation gives 124.6 Å³/cell. Its formation energy (no corrections) is 1.432 eV per atom.

Cell lengths 4.9949, 4.9949, 4.9949 Å; angles 90.00, 90.00, 90.00 degrees
Atoms (fractional coordinates):
Fe  0.0000  0.0000  0.5000
Fe  0.0000  0.5000  0.0000
Fe  0.5000  0.0000  0.0000
Hg  0.0000  0.0000  0.0000
Cl  0.5000  0.5000  0.5000

Record 4
First-principles (PBE-GGA) data for a relaxed structure of FeHgCl4, as listed in the Alexandria database.

Output
The symmetry is F-43m. As for the energy above the most stable polymorph in this dataset: 1.394 eV per atom. For the calculated volume, the calculation gives 147.8 Å³/cell. Its formation energy (no corrections) is 0.757 eV per atom.

Cell lengths 5.9349, 5.9349, 5.9349 Å; angles 60.00, 60.00, 60.00 degrees
Atoms (fractional coordinates):
Fe  0.0000  0.0000  0.0000
Hg  0.7500  0.7500  0.7500
Cl  0.3744  0.3744  0.3744
Cl  0.3744  0.3744  0.8768
Cl  0.3744  0.8768  0.3744
Cl  0.8768  0.3744  0.3744

Record 5
First-principles (PBE-GGA) data for a relaxed structure of FeHgCl3, as listed in the Alexandria database.

Output
The symmetry is Cm. As for the energy above the most stable polymorph in this dataset: 0.000 eV per atom. For the calculated volume, the calculation gives 341.1 Å³/cell. Its formation energy (no corrections) is -0.558 eV per atom.

Cell lengths 14.2032, 3.5936, 6.8506 Å; angles 90.00, 102.69, 90.00 degrees
Atoms (fractional coordinates):
Fe  0.0000  0.0000  0.0000
Fe  0.5000  0.5000  0.0000
Hg  0.3126  0.0000  0.4189
Hg  0.8126  0.5000  0.4189
Cl  0.0592  0.5000  0.8472
Cl  0.0618  0.0000  0.3172
Cl  0.3443  0.5000  0.9194
Cl  0.5592  0.0000  0.8472
Cl  0.5618  0.5000  0.3172
Cl  0.8443  0.0000  0.9194

Record 6
First-principles (PBE-GGA) data for a relaxed structure of FeHgCl2, as listed in the Alexandria database.

Output
The symmetry is Cmm2. As for the energy above the most stable polymorph in this dataset: 0.386 eV per atom. For the calculated volume, the calculation gives 196.1 Å³/cell. Its formation energy (no corrections) is -0.131 eV per atom.

Cell lengths 3.5022, 6.2211, 9.0022 Å; angles 90.00, 90.00, 90.00 degrees
Atoms (fractional coordinates):
Fe  0.0000  0.0000  0.0000
Fe  0.5000  0.5000  0.0000
Hg  0.0000  0.5000  0.7695
Hg  0.5000  0.0000  0.7695
Cl  0.0000  0.0000  0.5580
Cl  0.0000  0.5000  0.1687
Cl  0.5000  0.0000  0.1687
Cl  0.5000  0.5000  0.5580

Record 7
First-principles (PBE-GGA) data for a relaxed structure of FeHgCl2, as listed in the Alexandria database.

Output
The symmetry is I-4m2. As for the energy above the most stable polymorph in this dataset: 0.773 eV per atom. For the calculated volume, the calculation gives 178.7 Å³/cell. Its formation energy (no corrections) is 0.255 eV per atom.

Cell lengths 3.9070, 3.9070, 11.7047 Å; angles 90.00, 90.00, 90.00 degrees
Atoms (fractional coordinates):
Fe  0.0000  0.0000  0.0000
Fe  0.5000  0.5000  0.5000
Hg  0.0000  0.5000  0.7500
Hg  0.5000  0.0000  0.2500
Cl  0.0000  0.0000  0.5000
Cl  0.0000  0.5000  0.2500
Cl  0.5000  0.0000  0.7500
Cl  0.5000  0.5000  0.0000

Record 8
First-principles (PBE-GGA) data for a relaxed structure of FeHgCl2, as listed in the Alexandria database.

Output
The symmetry is Cmmm. As for the energy above the most stable polymorph in this dataset: 0.789 eV per atom. For the calculated volume, the calculation gives 171.5 Å³/cell. Its formation energy (no corrections) is 0.272 eV per atom.

Cell lengths 6.5175, 7.3000, 3.6053 Å; angles 90.00, 90.00, 90.00 degrees
Atoms (fractional coordinates):
Fe  0.0000  0.0000  0.0000
Fe  0.5000  0.5000  0.0000
Hg  0.0000  0.5000  0.0000
Hg  0.5000  0.0000  0.0000
Cl  0.2500  0.2500  0.5000
Cl  0.2500  0.7500  0.5000
Cl  0.7500  0.2500  0.5000
Cl  0.7500  0.7500  0.5000

Record 9
First-principles (PBE-GGA) data for a relaxed structure of FeHgCl2, as listed in the Alexandria database.

Output
The symmetry is R3m. As for the energy above the most stable polymorph in this dataset: 0.411 eV per atom. For the calculated volume, the calculation gives 244.7 Å³/cell. Its formation energy (no corrections) is -0.106 eV per atom.

Cell lengths 3.3958, 3.3958, 24.5034 Å; angles 90.00, 90.00, 120.00 degrees
Atoms (fractional coordinates):
Fe  0.0000  0.0000  0.0000
Fe  0.3333  0.6667  0.6667
Fe  0.6667  0.3333  0.3333
Hg  0.0000  0.0000  0.7457
Hg  0.3333  0.6667  0.4124
Hg  0.6667  0.3333  0.0791
Cl  0.0000  0.0000  0.2899
Cl  0.0000  0.0000  0.4893
Cl  0.3333  0.6667  0.1559
Cl  0.3333  0.6667  0.9566
Cl  0.6667  0.3333  0.6233
Cl  0.6667  0.3333  0.8226

Record 10
First-principles (PBE-GGA) data for a relaxed structure of FeHgCl6, as listed in the Alexandria database.

Output
The symmetry is R-3m. For the calculated volume, the calculation gives 305.3 Å³/cell. Its formation energy (no corrections) is -0.495 eV per atom.

Cell lengths 7.5934, 7.5934, 7.5934 Å; angles 111.75, 111.75, 111.75 degrees
Atoms (fractional coordinates):
Fe  0.0000  0.0000  0.0000
Hg  0.5000  0.5000  0.5000
Cl  0.1150  0.1150  0.3671
Cl  0.1150  0.3671  0.1150
Cl  0.3671  0.1150  0.1150
Cl  0.6329  0.8850  0.8850
Cl  0.8850  0.6329  0.8850
Cl  0.8850  0.8850  0.6329

Record 11
First-principles (PBE-GGA) data for a relaxed structure of FeHgCl4, as listed in the Alexandria database.

Output
The symmetry is P-42c. As for the energy above the most stable polymorph in this dataset: 0.000 eV per atom. For the calculated volume, the calculation gives 393.9 Å³/cell. Its formation energy (no corrections) is -0.638 eV per atom.

Cell lengths 5.9898, 5.9898, 10.9804 Å; angles 90.00, 90.00, 90.00 degrees
Atoms (fractional coordinates):
Fe  0.0000  0.5000  0.2500
Fe  0.5000  0.0000  0.7500
Hg  0.0000  0.0000  0.0000
Hg  0.0000  0.0000  0.5000
Cl  0.2228  0.2818  0.3677
Cl  0.2228  0.7182  0.1323
Cl  0.2818  0.2228  0.8677
Cl  0.2818  0.7772  0.6323
Cl  0.7182  0.2228  0.6323
Cl  0.7182  0.7772  0.8677
Cl  0.7772  0.2818  0.1323
Cl  0.7772  0.7182  0.3677

Record 12
First-principles (PBE-GGA) data for a relaxed structure of FeHgCl2, as listed in the Alexandria database.

Output
The symmetry is I-42d. As for the energy above the most stable polymorph in this dataset: 0.398 eV per atom. For the calculated volume, the calculation gives 454.9 Å³/cell. Its formation energy (no corrections) is -0.119 eV per atom.

Cell lengths 6.9280, 6.9280, 9.4773 Å; angles 90.00, 90.00, 90.00 degrees
Atoms (fractional coordinates):
Fe  0.0000  0.0000  0.0000
Fe  0.0000  0.5000  0.2500
Fe  0.5000  0.0000  0.7500
Fe  0.5000  0.5000  0.5000
Hg  0.0000  0.0000  0.5000
Hg  0.0000  0.5000  0.7500
Hg  0.5000  0.0000  0.2500
Hg  0.5000  0.5000  0.0000
Cl  0.0751  0.2500  0.1250
Cl  0.2500  0.5751  0.3750
Cl  0.2500  0.9249  0.8750
Cl  0.4249  0.2500  0.6250
Cl  0.5751  0.7500  0.6250
Cl  0.7500  0.0751  0.8750
Cl  0.7500  0.4249  0.3750
Cl  0.9249  0.7500  0.1250

> The highest calculated volume belongs to which entry?

Fe3HgCl12

> Which formula does entry 9 have?

FeHgCl2

> Look up the formation energy (no corrections) of the third one.

1.432 eV per atom

> Which of these has the lowest calculated volume?

number 1